# 1
# KBaLi2, relaxed, DFT PBEsol
data_KBaLi2
_symmetry_space_group_name_H-M 'I -4 2 d'
_symmetry_Int_Tables_number 122
_symmetry_space_group_name_Hall 'I -4 2bw'
_cell_length_a 9.5286
_cell_length_b 9.5286
_cell_length_c 7.5796
_cell_angle_alpha 90.00
_cell_angle_beta 90.00
_cell_angle_gamma 90.00
loop_
_atom_site_label
_atom_site_type_symbol
_atom_site_fract_x
_atom_site_fract_y
_atom_site_fract_z
K1 K 0.0000 0.0000 0.0000
Ba1 Ba 0.0000 0.0000 0.5000
Li1 Li 0.2330 0.7500 0.1250
# - Energy of formation from the pure elements: 0.25 eV per atom
# - ΔE to the lowest computed polymorph: 2.82 kcal/mol of atoms
# - Density of states at the Fermi level: 2.7 states/eV/f.u.

# 2
# MgMnOs2, relaxed, DFT PBEsol
data_MgMnOs2
_symmetry_space_group_name_H-M 'I 4/m m m'
_symmetry_Int_Tables_number 139
_symmetry_space_group_name_Hall '-I 4 2'
_cell_length_a 3.8080
_cell_length_b 3.8080
_cell_length_c 7.5795
_cell_angle_alpha 90.00
_cell_angle_beta 90.00
_cell_angle_gamma 90.00
loop_
_atom_site_label
_atom_site_type_symbol
_atom_site_fract_x
_atom_site_fract_y
_atom_site_fract_z
Mg1 Mg 0.0000 0.0000 0.0000
Mn1 Mn 0.0000 0.0000 0.5000
Os1 Os 0.0000 0.5000 0.2500
# - Energy of formation from the pure elements: 0.35 eV per atom
# - Density of states at the Fermi level: 3.1 states/eV/f.u.

# 3
# YCrSe2, relaxed, DFT PBEsol
data_YCrSe2
_symmetry_space_group_name_H-M 'P 4 m m'
_symmetry_Int_Tables_number 99
_symmetry_space_group_name_Hall 'P 4 -2'
_cell_length_a 3.9330
_cell_length_b 3.9330
_cell_length_c 5.5374
_cell_angle_alpha 90.00
_cell_angle_beta 90.00
_cell_angle_gamma 90.00
loop_
_atom_site_label
_atom_site_type_symbol
_atom_site_fract_x
_atom_site_fract_y
_atom_site_fract_z
Y1 Y 0.0000 0.0000 0.0000
Cr1 Cr 0.5000 0.5000 0.4987
Se1 Se 0.0000 0.0000 0.4998
Se2 Se 0.5000 0.5000 0.9988
# - ΔE to the lowest computed polymorph: 0.00 kcal/mol of atoms
# - Density of states at the Fermi level: 1.4 states/eV/f.u.

# 4
# SrCuP, relaxed, DFT PBEsol
data_SrCuP
_symmetry_space_group_name_H-M 'F m m 2'
_symmetry_Int_Tables_number 42
_symmetry_space_group_name_Hall 'F 2 -2'
_cell_length_a 4.2613
_cell_length_b 6.1886
_cell_length_c 10.3003
_cell_angle_alpha 90.00
_cell_angle_beta 90.00
_cell_angle_gamma 90.00
loop_
_atom_site_label
_atom_site_type_symbol
_atom_site_fract_x
_atom_site_fract_y
_atom_site_fract_z
Sr1 Sr 0.0000 0.0000 0.0000
Cu1 Cu 0.0000 0.0000 0.7226
P1 P 0.0000 0.0000 0.2943
# - Energy of formation from the pure elements: -0.16 eV per atom
# - Density of states at the Fermi level: 1.4 states/eV/f.u.

# 5
# Ta2BeNi, relaxed, DFT PBEsol
data_Ta2BeNi
_symmetry_space_group_name_H-M 'P 4/m m m'
_symmetry_Int_Tables_number 123
_symmetry_space_group_name_Hall '-P 4 2'
_cell_length_a 3.8809
_cell_length_b 3.8809
_cell_length_c 3.6192
_cell_angle_alpha 90.00
_cell_angle_beta 90.00
_cell_angle_gamma 90.00
loop_
_atom_site_label
_atom_site_type_symbol
_atom_site_fract_x
_atom_site_fract_y
_atom_site_fract_z
Ta1 Ta 0.0000 0.5000 0.0000
Be1 Be 0.0000 0.0000 0.5000
Ni1 Ni 0.5000 0.5000 0.5000
# - Energy of formation from the pure elements: -0.04 eV per atom
# - Density of states at the Fermi level: 3.4 states/eV/f.u.

# 6
# Cr2FeTc, relaxed, DFT PBEsol
data_Cr2FeTc
_symmetry_space_group_name_H-M 'P 4/m m m'
_symmetry_Int_Tables_number 123
_symmetry_space_group_name_Hall '-P 4 2'
_cell_length_a 4.0069
_cell_length_b 4.0069
_cell_length_c 2.9469
_cell_angle_alpha 90.00
_cell_angle_beta 90.00
_cell_angle_gamma 90.00
loop_
_atom_site_label
_atom_site_type_symbol
_atom_site_fract_x
_atom_site_fract_y
_atom_site_fract_z
Cr1 Cr 0.0000 0.5000 0.0000
Fe1 Fe 0.0000 0.0000 0.5000
Tc1 Tc 0.5000 0.5000 0.5000
# - Energy of formation from the pure elements: 0.12 eV per atom
# - ΔE to the lowest computed polymorph: 0.00 kcal/mol of atoms
# - Density of states at the Fermi level: 4.2 states/eV/f.u.

# 7
# Tl3SiTe3, relaxed, DFT PBEsol
data_Tl3SiTe3
_symmetry_space_group_name_H-M 'P -1'
_symmetry_Int_Tables_number 2
_symmetry_space_group_name_Hall '-P 1'
_cell_length_a 9.2577
_cell_length_b 9.5018
_cell_length_c 10.3855
_cell_angle_alpha 88.96
_cell_angle_beta 83.95
_cell_angle_gamma 78.70
loop_
_atom_site_label
_atom_site_type_symbol
_atom_site_fract_x
_atom_site_fract_y
_atom_site_fract_z
Tl1 Tl 0.0098 0.3861 0.3613
Tl2 Tl 0.1443 0.2184 0.9148
Tl3 Tl 0.1780 0.7137 0.2353
Tl4 Tl 0.3081 0.8520 0.8364
Tl5 Tl 0.4030 0.4332 0.6564
Tl6 Tl 0.4059 0.0355 0.3575
Si1 Si 0.0771 0.9798 0.5830
Si2 Si 0.4105 0.4281 0.0131
Te1 Te 0.0825 0.0728 0.2177
Te2 Te 0.1836 0.5615 0.9166
Te3 Te 0.1872 0.2022 0.5951
Te4 Te 0.2826 0.7667 0.5221
Te5 Te 0.3694 0.3793 0.2520
Te6 Te 0.4908 0.8033 0.1072
# - Electronic total energy: -3.68 eV per atom

# 8
# CuRh, relaxed, DFT PBEsol
data_CuRh
_symmetry_space_group_name_H-M 'P m m n'
_symmetry_Int_Tables_number 59
_cell_length_a 2.6349
_cell_length_b 4.2876
_cell_length_c 4.4685
_cell_angle_alpha 90.00
_cell_angle_beta 90.00
_cell_angle_gamma 90.00
loop_
_symmetry_equiv_pos_as_xyz
'x,y,z'
'-x,-y,-z'
'-x+1/2,-y+1/2,z'
'x+1/2,y+1/2,-z'
'x+1/2,-y,-z'
'-x+1/2,y,z'
'-x,y+1/2,-z'
'x,-y+1/2,z'
loop_
_atom_site_label
_atom_site_type_symbol
_atom_site_fract_x
_atom_site_fract_y
_atom_site_fract_z
Cu1 Cu 0.2500 0.2500 0.0730
Rh1 Rh 0.2500 0.7500 0.4248
# - Energy of formation from the pure elements: 0.08 eV per atom
# - Density of states at the Fermi level: 2.2 states/eV/f.u.